Below is a geometry-optimized La3MgOs structure, with properties calculated at the PBE-GGA level.

Calculated values
- calculated volume (Å³/cell) = 585.7
- N(E_F) (states/eV/f.u.) = 5.0
- ΔE to the lowest computed polymorph (eV per atom) = 0.117
- symmetry = P2_1/c, No. 14

Cell lengths 10.055, 5.883, 11.139 Å; angles 90.00, 117.26, 90.00 degrees
Sites, in units of the cell vectors:
La: 0.016 0.089 0.348
La: 0.016 0.411 0.848
La: 0.303 0.511 0.520
La: 0.303 0.989 0.020
La: 0.326 0.021 0.687
La: 0.326 0.479 0.187
La: 0.674 0.521 0.813
La: 0.674 0.979 0.313
La: 0.697 0.011 0.980
La: 0.697 0.489 0.480
La: 0.984 0.589 0.152
La: 0.984 0.911 0.652
Mg: 0.349 0.503 0.857
Mg: 0.349 0.997 0.357
Mg: 0.651 0.003 0.643
Mg: 0.651 0.497 0.143
Os: 0.090 0.131 0.095
Os: 0.090 0.369 0.595
Os: 0.910 0.631 0.405
Os: 0.910 0.869 0.905


Below is a geometry-optimized La3MgOs structure, with properties calculated at the PBE-GGA level.

Calculated values
- calculated volume (Å³/cell) = 614.7
- N(E_F) (states/eV/f.u.) = 4.6
- ΔE to the lowest computed polymorph (eV per atom) = 0.112
- symmetry = C2/c, No. 15

Cell lengths 9.081, 9.081, 8.372 Å; angles 95.90, 95.90, 114.89 degrees
Sites, in units of the cell vectors:
La: 0.069 0.695 0.925
La: 0.118 0.399 0.507
La: 0.299 0.403 0.878
La: 0.305 0.931 0.575
La: 0.399 0.118 0.007
La: 0.403 0.299 0.378
La: 0.597 0.701 0.622
La: 0.601 0.882 0.993
La: 0.695 0.069 0.425
La: 0.701 0.597 0.122
La: 0.882 0.601 0.493
La: 0.931 0.305 0.075
Mg: 0.024 0.976 0.250
Mg: 0.353 0.647 0.250
Mg: 0.647 0.353 0.750
Mg: 0.976 0.024 0.750
Os: 0.053 0.673 0.244
Os: 0.327 0.947 0.256
Os: 0.673 0.053 0.744
Os: 0.947 0.327 0.756


Below is a geometry-optimized La3MgOs structure, with properties calculated at the PBE-GGA level.

Calculated values
- calculated volume (Å³/cell) = 296.2
- N(E_F) (states/eV/f.u.) = 4.5
- ΔE to the lowest computed polymorph (eV per atom) = 0.000
- symmetry = Fmmm, No. 69

Cell lengths 9.844, 9.003, 6.237 Å; angles 78.16, 63.51, 38.32 degrees
Sites, in units of the cell vectors:
La: 0.189 0.588 0.412
La: 0.205 0.205 0.795
La: 0.412 0.811 0.189
La: 0.588 0.189 0.811
La: 0.795 0.795 0.205
La: 0.811 0.412 0.588
Mg: 0.206 0.794 0.794
Mg: 0.794 0.206 0.206
Os: 0.250 0.250 0.250
Os: 0.750 0.750 0.750


no.,E_form (eV per atom),total energy (Ry/atom)
1,-0.0086,-0.406
2,-0.0132,-0.407
3,-0.1251,-0.415